Computed, not measured: a geometry-optimized ZnAuC structure at the PBE-GGA level of DFT.

Summary:
* energy above the lowest structure with this stoichiometry: 0.13 eV per formula unit
* DOS at the Fermi energy: 0.30 states/eV/f.u.
* total energy: -24.313 eV per cell

abc: 3.206 4.856 6.127
angles: 86.09 89.82 71.22
Space group P1 (No. 1)
Inequivalent atoms, fractional coordinates:
Zn1 0.000 0.000 0.000 (multiplicity 1)
Zn2 0.308 0.378 0.328 (multiplicity 1)
Au1 0.039 0.924 0.494 (multiplicity 1)
Au2 0.770 0.460 0.677 (multiplicity 1)
C1 0.640 0.713 0.013 (multiplicity 1)
C2 0.775 0.432 0.066 (multiplicity 1)

***

Computed, not measured: a geometry-optimized ZnAuC3 structure at the PBE-GGA level of DFT.

Summary:
* energy above the lowest structure with this stoichiometry: 0.00 eV per formula unit
* DOS at the Fermi energy: 2.95 states/eV/f.u.
* total energy: -17.586 eV per cell

abc: 3.991 3.991 3.991
angles: 90.00 90.00 90.00
Space group Pm-3m (No. 221)
Inequivalent atoms, fractional coordinates:
Zn1 0.000 0.000 0.000 (multiplicity 1)
Au1 0.500 0.500 0.500 (multiplicity 1)
C1 0.000 0.000 0.500 (multiplicity 3)

***

For reference, calculated formation energy by record: 0.539; 2.927 eV per atom.
For reference, magnetization by record: 0.0; 0.0 μB per formula unit.